Record 1
# MgMo2Ru | the Alexandria database | PBE-GGA | optimized geometry
data_MgMo2Ru
_chemical_formula_sum 'Mg3 Mo6 Ru3'
_space_group_name_H-M_alt 'R 3 m'
_space_group_IT_number 160
_space_group_name_Hall 'R 3 -2"'
_cell_length_a 2.8111
_cell_length_b 2.8111
_cell_length_c 28.0490
_cell_angle_alpha 90.00
_cell_angle_beta 90.00
_cell_angle_gamma 120.00
loop_
_atom_site_label
_atom_site_type_symbol
_atom_site_fract_x
_atom_site_fract_y
_atom_site_fract_z
Mg1 Mg 0.0000 0.0000 0.0000
Mo1 Mo 0.0000 0.0000 0.2443
Mo2 Mo 0.0000 0.0000 0.4915
Ru1 Ru 0.0000 0.0000 0.7497
# **ΔH_f (0 K)**: 21.8 kJ per mole of atoms
# **DOS(E_F)**: 3.114 states/eV/f.u.
# **Crystal system**: trigonal

Record 2
# TmBC | the Alexandria database | PBE-GGA | optimized geometry
data_TmBC
_chemical_formula_sum 'Tm4 B4 C4'
_space_group_name_H-M_alt 'C 1 2/m 1'
_space_group_IT_number 12
_cell_length_a 6.014
_cell_length_b 3.372
_cell_length_c 7.352
_cell_angle_alpha 90.00
_cell_angle_beta 99.27
_cell_angle_gamma 90.00
loop_
_space_group_symop_operation_xyz
'x,y,z'
'-x,-y,-z'
'-x,y,-z'
'x,-y,z'
'x+1/2,y+1/2,z'
'-x+1/2,-y+1/2,-z'
'-x+1/2,y+1/2,-z'
'x+1/2,-y+1/2,z'
loop_
_atom_site_label
_atom_site_type_symbol
_atom_site_fract_x
_atom_site_fract_y
_atom_site_fract_z
Tm1 Tm 0.054 0.000 0.255
B1 B 0.169 0.500 0.005
C1 C 0.098 0.500 0.551
# **Excess energy over the best structure of this formula in the dataset**: 0.1493 eV/atom
# **ΔH_f (0 K)**: -30.5 kJ per mole of atoms
# **DOS(E_F)**: 0.991 states/eV/f.u.
# **Crystal system**: monoclinic

Record 3
# MgS6I2 | the Alexandria database | PBE-GGA | optimized geometry
data_MgS6I2
_chemical_formula_sum 'Mg1 S6 I2'
_space_group_name_H-M_alt 'P -1'
_space_group_IT_number 2
_cell_length_a 5.559
_cell_length_b 6.561
_cell_length_c 8.045
_cell_angle_alpha 102.11
_cell_angle_beta 99.44
_cell_angle_gamma 111.69
loop_
_space_group_symop_operation_xyz
'x,y,z'
'-x,-y,-z'
loop_
_atom_site_label
_atom_site_type_symbol
_atom_site_fract_x
_atom_site_fract_y
_atom_site_fract_z
Mg1 Mg 0.000 0.000 0.000
S1 S 0.033 0.241 0.774
S2 S 0.204 0.708 0.893
S3 S 0.497 0.182 0.212
I1 I 0.381 0.268 0.638
# **Formation energy from raw total energies**: 0.01 eV/atom
# **DOS(E_F)**: 3.396 states/eV/f.u.
# **Crystal system**: triclinic

Record 4
# LaTa2Ag | the Alexandria database | PBE-GGA | optimized geometry
data_LaTa2Ag
_chemical_formula_sum 'La1 Ta2 Ag1'
_space_group_name_H-M_alt 'P 4/m m m'
_space_group_IT_number 123
_space_group_name_Hall '-P 4 2'
_cell_length_a 2.932
_cell_length_b 2.932
_cell_length_c 9.712
_cell_angle_alpha 90.00
_cell_angle_beta 90.00
_cell_angle_gamma 90.00
loop_
_atom_site_label
_atom_site_type_symbol
_atom_site_fract_x
_atom_site_fract_y
_atom_site_fract_z
La1 La 0.000 0.000 0.000
Ta1 Ta 0.500 0.500 0.280
Ag1 Ag 0.000 0.000 0.500
# **Excess energy over the best structure of this formula in the dataset**: 0.2757 eV/atom
# **ΔH_f (0 K)**: 51.5 kJ per mole of atoms
# **DOS(E_F)**: 4.485 states/eV/f.u.
# **Crystal system**: tetragonal

> DOS(E_F) of number 3 (MgS6I2)?

3.396 states/eV/f.u.

> What is the formula in the first record?

MgMo2Ru